Computed, not measured: a relaxed AcScAgHg crystal at the PBE level of DFT.

Output
**M_tot**: 0.00 μB per cell
**ΔH_f (0 K)**: -0.25 eV/atom

Cell lengths 7.5657, 7.5657, 7.5657 Å; angles 90.00, 90.00, 90.00 degrees
Space group F-43m (No. 216)
Inequivalent atoms, fractional coordinates:
Ac1 0.0000 0.0000 0.0000 (multiplicity 4)
Sc1 0.0000 0.0000 0.5000 (multiplicity 4)
Ag1 0.2500 0.2500 0.2500 (multiplicity 4)
Hg1 0.2500 0.2500 0.7500 (multiplicity 4)